Compound: NdBi6
Source: Alexandria
Functional: PBE-GGA
Structure: relaxed

Properties
- Electronic total energy: -24.46 eV per cell
- Magnetic moment: 0.16 μB per atom

Unit cell a=7.5655 b=7.5655 c=7.5655 alpha=109.47 beta=109.47 gamma=109.47
Each line ends with the local moment (μB).
Element x y z (fractional)
Bi  0.2500  0.5000  0.7500  0.01
Bi  0.2500  0.7500  0.5000  0.01
Nd  0.0000  0.0000  0.0000  0.46
Bi  0.7500  0.2500  0.5000  0.01
Bi  0.5000  0.7500  0.2500  0.01
Bi  0.5000  0.2500  0.7500  0.01
Bi  0.7500  0.5000  0.2500  0.01

***

Compound: Fe2MoPN
Source: Alexandria
Functional: PBE-GGA
Structure: relaxed

Properties
- Electronic total energy: -39.89 eV per cell
- Magnetic moment: 0.00 μB per atom

Unit cell a=3.5843 b=4.5610 c=3.5843 alpha=90.00 beta=90.00 gamma=90.00
Element x y z (fractional)
Fe  0.5000  0.0000  0.0000
N  0.0000  0.0000  0.0000
Mo  0.5000  0.5000  0.5000
P  0.0000  0.5000  0.0000
Fe  0.0000  0.0000  0.5000

***

What is the formula in the second record?
Fe2MoPN